# 1
4
Lattice="-2.104 4.072 0.993 -4.325 0.024 1.813 -0.664 1.269 4.466" Properties=species:S:1:pos:R:3 comment="ErZrCuNi, relaxed, DFT PBE" volume_a3_per_atom=18.232 sg="F-43m (216)" n_ef_per_ev_atom=1.054 energy_ev_per_cell=-23.9 crystal_system=cubic formation_enthalpy_0k_ev_per_fu=-1.0 pbc="T T T"
Ni -5.319 4.024 5.453
Cu -1.773 1.341 1.818
Zr -3.546 2.682 3.636
Er 0.000 0.000 0.000

---

# 2
5
Lattice="4.594 0.000 0.000 0.000 4.594 0.000 0.000 0.000 4.594" Properties=species:S:1:pos:R:3 comment="TcMo3Ir, relaxed, DFT PBE" e_above_lowest_polymorph_mev_per_atom=0 volume_a3_per_atom=19.397 sg="Pm-3m (221)" n_ef_per_ev_atom=1.075 energy_ev_per_cell=-43.1 crystal_system=cubic formation_enthalpy_0k_ev_per_fu=8.6 pbc="T T T"
Mo 0.000 2.297 0.000
Mo 0.000 0.000 2.297
Mo 2.297 0.000 0.000
Ir 2.297 2.297 2.297
Tc 0.000 0.000 0.000

---

# 3
12
Lattice="5.186 0.000 1.538 2.365 4.616 1.538 0.041 0.025 9.374" Properties=species:S:1:pos:R:3 comment="Th3HIr8, relaxed, DFT PBE" volume_a3_per_atom=18.667 sg="R3m (160)" n_ef_per_ev_atom=0.507 energy_ev_per_cell=-103.9 crystal_system=trigonal pbc="T T T"
Th 4.663 2.850 3.303
Th 0.108 0.066 9.148
Th 3.685 2.252 6.602
H 1.434 0.876 4.678
Ir 3.053 0.262 8.732
Ir 1.625 2.615 4.033
Ir 4.249 2.597 9.511
Ir 0.415 0.254 3.246
Ir 6.107 3.733 7.948
Ir 2.318 1.417 1.695
Ir 1.625 2.597 8.732
Ir 3.068 0.254 4.033

---

# 4
5
Lattice="-0.004 -3.894 -3.906 -2.111 -3.608 3.599 -5.096 1.498 -1.487" Properties=species:S:1:pos:R:3 comment="LiAcI3, relaxed, DFT PBE" e_above_lowest_polymorph_mev_per_atom=282 volume_a3_per_atom=33.565 sg="Pm-3m (221)" n_ef_per_ev_atom=0.484 energy_ev_per_cell=-15.5 crystal_system=cubic pbc="T T T"
I -1.055 -1.804 1.799
I -2.548 0.749 -0.744
I -0.002 -1.947 -1.953
Ac -3.606 -3.002 -0.897
Li 0.000 0.000 0.000

---

# 5
18
Lattice="-7.003 -0.102 0.033 0.046 -5.504 -7.326 0.092 -3.591 8.429" Properties=species:S:1:pos:R:3 comment="Tb5PrHg3, relaxed, DFT PBE" volume_a3_per_atom=28.295 sg="P6_3/mcm (193)" n_ef_per_ev_atom=0.804 energy_ev_per_cell=-62.9 crystal_system=hexagonal formation_enthalpy_0k_ev_per_fu=-2.6 pbc="T T T"
Tb 0.061 -4.867 -2.074
Tb -3.425 -4.280 3.194
Tb 0.077 -4.228 3.177
Tb -3.440 -4.918 -2.057
Tb -5.160 -6.168 0.764
Tb -5.176 -6.767 -4.517
Tb -5.237 -1.895 -2.395
Tb -1.705 -3.030 0.372
Tb -1.689 -2.431 5.653
Tb -1.720 -3.712 -4.898
Pr 0.000 0.000 0.000
Pr -3.502 -0.051 0.016
Hg -5.205 -3.179 0.401
Hg -5.146 -7.947 -1.746
Hg -5.222 -3.704 -4.803
Hg -1.660 -6.019 0.735
Hg -1.719 -1.250 2.883
Hg -1.735 -1.903 -2.490

---

# 6
5
Lattice="6.633 0.000 0.000 0.000 6.633 0.000 0.000 0.000 6.633" Properties=species:S:1:pos:R:3 comment="RbIn3Br, relaxed, DFT PBE" e_above_lowest_polymorph_mev_per_atom=621 volume_a3_per_atom=58.376 sg="Pm-3m (221)" n_ef_per_ev_atom=1.774 energy_ev_per_cell=-7.7 crystal_system=cubic pbc="T T T"
Br 3.317 3.317 3.317
Rb 0.000 0.000 0.000
In 0.000 3.317 0.000
In 0.000 0.000 3.317
In 3.317 0.000 0.000

---

# 7
4
Lattice="-0.636 -1.616 -3.373 -3.063 -2.179 -0.514 -4.668 4.176 -3.141" Properties=species:S:1:pos:R:3 comment="LiSi2Hg, relaxed, DFT PBE" volume_a3_per_atom=20.849 sg="Cm (8)" n_ef_per_ev_atom=0.162 energy_ev_per_cell=-12.9 crystal_system=monoclinic pbc="T T T"
Hg -4.196 0.158 -3.531
Li -1.976 -0.117 -1.701
Si -4.505 3.950 -3.048
Si -6.540 0.758 -5.404

---

# 8
4
Lattice="-0.639 -1.449 3.656 -2.204 -3.283 0.484 8.023 -7.729 0.510" Properties=species:S:1:pos:R:3 comment="SrNd2Co, relaxed, DFT PBE" e_above_lowest_polymorph_mev_per_atom=106 volume_a3_per_atom=37.498 sg="R-3m (166)" n_ef_per_ev_atom=1.066 energy_ev_per_cell=-17.9 crystal_system=trigonal formation_enthalpy_0k_ev_per_fu=0.4 pbc="T T T"
Sr 0.000 0.000 0.000
Nd 4.761 -5.492 0.826
Nd 0.418 -6.969 3.824
Co 2.590 -6.230 2.325

---

# 9
8
Lattice="3.336 0.001 0.000 -1.667 4.676 0.000 0.000 0.000 7.801" Properties=species:S:1:pos:R:3 comment="TaNb2B, relaxed, DFT PBE" volume_a3_per_atom=15.211 sg="Cmcm (63)" n_ef_per_ev_atom=0.818 energy_ev_per_cell=-79.4 crystal_system=orthorhombic formation_enthalpy_0k_ev_per_fu=-1.0 pbc="T T T"
Ta 1.669 4.174 1.950
Ta 0.000 0.503 5.851
Nb 0.000 3.313 4.338
Nb 1.669 1.364 3.463
Nb 0.000 3.313 7.363
Nb 1.669 1.364 0.438
B 1.668 2.438 5.851
B 0.001 2.239 1.950

---

# 10
4
Lattice="-4.171 0.036 -3.494 -5.047 -0.988 1.777 -3.659 4.023 0.173" Properties=species:S:1:pos:R:3 comment="NdPaBiTe, relaxed, DFT PBE" volume_a3_per_atom=28.474 sg="F-43m (216)" n_ef_per_ev_atom=1.189 energy_ev_per_cell=-23.9 crystal_system=cubic pbc="T T T"
Te -3.219 0.768 -0.386
Pa -6.438 1.536 -0.772
Nd 0.000 0.000 0.000
Bi -9.658 2.303 -1.157

---

# 11
9
Lattice="5.572 0.000 -0.001 2.786 4.825 -0.001 -0.001 0.001 4.689" Properties=species:S:1:pos:R:3 comment="PmTlSeO6, relaxed, DFT PBE" volume_a3_per_atom=14.006 sg="P312 (149)" n_ef_per_ev_atom=0.505 energy_ev_per_cell=-51.0 crystal_system=trigonal pbc="T T T"
Pm 5.572 3.217 2.341
Tl 8.358 4.826 4.686
Se 2.786 1.609 2.344
O 1.259 1.592 1.295
O 2.010 0.294 3.394
O 4.312 1.595 3.394
O 2.035 2.938 3.393
O 3.535 2.939 1.295
O 3.563 0.295 1.295

---

# 12
9
Lattice="-1.766 2.406 4.126 2.805 -3.038 2.972 8.330 7.120 -0.586" Properties=species:S:1:pos:R:3 comment="Ce2NdErSe5, relaxed, DFT PBE" volume_a3_per_atom=31.619 sg="P4/mmm (123)" n_ef_per_ev_atom=2.114 energy_ev_per_cell=-50.6 crystal_system=tetragonal pbc="T T T"
Ce 3.094 1.885 3.368
Ce 6.275 4.604 3.144
Nd 0.000 0.000 0.000
Er 4.165 3.560 -0.293
Se 5.568 2.041 1.193
Se 3.282 4.763 1.770
Se 6.246 5.339 -0.440
Se 2.084 1.781 -0.147
Se 0.520 -0.316 3.549